--- one ---
Compound: CdCoNiAs
Source: the Open Quantum Materials Database
Functional: PBE-GGA
Structure: optimized geometry

The structure in extended XYZ format:
```
4
Lattice="4.0174 -1.2709 -0.9487 1.6818 -3.4722 1.9417 0.6420 -3.6321 -2.2474" Properties=species:S:1:pos:R:3 pbc="T T T"
Ni 1.5853 -2.0938 -0.3136
As 0.0000 0.0000 0.0000
Co 4.7560 -6.2814 -0.9408
Cd 3.1707 -4.1876 -0.6272
```

Summary:
space-group type	F-43m
magnetic moment	0.00	μB per cell

--- two ---
Compound: CdCoNiAs
Source: the Open Quantum Materials Database
Functional: PBE-GGA
Structure: optimized geometry

The structure in extended XYZ format:
```
4
Lattice="2.3574 -3.4447 -1.3130 2.5142 -2.1503 2.8640 -1.1101 -4.0310 1.2908" Properties=species:S:1:pos:R:3 pbc="T T T"
As 0.0000 0.0000 0.0000
Co 2.8211 -7.2196 2.1314
Ni 1.8807 -4.8131 1.4209
Cd 0.9404 -2.4065 0.7105
```

Summary:
space-group type	F-43m
magnetic moment	1.29	μB per cell

Quick one: most stable of them? one

--- one ---
Compound: ZrCdCoAs
Source: the Open Quantum Materials Database
Functional: PBE-GGA
Structure: optimized geometry

The structure in extended XYZ format:
```
4
Lattice="1.3803 -4.2768 1.0295 -2.5514 -3.6182 -1.2866 1.4966 -2.8056 -3.3384" Properties=species:S:1:pos:R:3 pbc="T T T"
As 0.0000 0.0000 0.0000
Zr 0.0814 -2.6751 -0.8989
Co 0.2441 -8.0255 -2.6966
Cd 0.1627 -5.3503 -1.7977
```

Summary:
space-group type	F-43m
magnetic moment	0.09	μB per cell

--- two ---
Compound: ZrCdCoAs
Source: the Open Quantum Materials Database
Functional: PBE-GGA
Structure: optimized geometry

The structure in extended XYZ format:
```
4
Lattice="0.0000 3.2861 3.2861 3.2861 0.0000 3.2861 3.2861 3.2861 0.0000" Properties=species:S:1:pos:R:3 pbc="T T T"
Zr 3.2861 3.2861 3.2861
Co 4.9292 4.9292 4.9292
Cd 1.6431 1.6431 1.6431
As 0.0000 0.0000 0.0000
```

Summary:
space-group type	F-43m
magnetic moment	0.00	μB per cell

Quick one: most stable of them? one

--- one ---
Compound: Cs2K2CdAs2
Source: the Open Quantum Materials Database
Functional: PBE-GGA
Structure: optimized geometry

The structure in extended XYZ format:
```
7
Lattice="2.9897 1.7261 10.0274 -2.9897 1.7261 10.0274 0.0000 -3.4522 10.0274" Properties=species:S:1:pos:R:3 pbc="T T T"
Cs 0.0000 0.0000 6.2469
Cs 0.0000 0.0000 23.8354
K 0.0000 0.0000 11.5973
K 0.0000 0.0000 18.4850
As 0.0000 0.0000 2.5158
As 0.0000 0.0000 27.5665
Cd 0.0000 0.0000 0.0000
```

Summary:
space-group type	R-3m

--- two ---
Compound: Cs2K2CdAs2
Source: the Open Quantum Materials Database
Functional: PBE-GGA
Structure: optimized geometry

The structure in extended XYZ format:
```
7
Lattice="3.1061 1.7933 9.2523 -3.1061 1.7933 9.2523 0.0000 -3.5866 9.2523" Properties=species:S:1:pos:R:3 pbc="T T T"
As 0.0000 0.0000 25.2372
As 0.0000 0.0000 2.5197
Cd 0.0000 0.0000 0.0000
Cs 0.0000 0.0000 10.7960
Cs 0.0000 0.0000 16.9609
K 0.0000 0.0000 5.7637
K 0.0000 0.0000 21.9932
```

Summary:
space-group type	R-3m

Quick one: most stable of them? one

--- one ---
Compound: CsCdAsO
Source: the Open Quantum Materials Database
Functional: PBE-GGA
Structure: optimized geometry

The structure in extended XYZ format:
```
8
Lattice="4.2871 0.0000 0.0000 0.0000 4.2871 0.0000 0.0000 0.0000 12.3195" Properties=species:S:1:pos:R:3 pbc="T T T"
Cd 0.0000 0.0000 6.1597
Cd 2.1436 2.1436 6.1597
As 0.0000 2.1436 4.4181
As 2.1436 0.0000 7.9014
O 0.0000 0.0000 0.0000
O 2.1436 2.1436 0.0000
Cs 2.1436 0.0000 1.8697
Cs 0.0000 2.1436 10.4498
```

Summary:
space-group type	P4/nmm

--- two ---
Compound: CsCdAsO
Source: the Open Quantum Materials Database
Functional: PBE-GGA
Structure: optimized geometry

The structure in extended XYZ format:
```
8
Lattice="3.4968 0.0000 0.0000 0.0000 9.7659 0.0000 0.0000 0.0000 6.0251" Properties=species:S:1:pos:R:3 pbc="T T T"
O 1.7484 6.2482 5.9769
O 1.7484 3.5177 2.9643
As 0.0000 9.6422 1.7226
As 0.0000 0.1237 4.7351
Cs 1.7484 3.4328 5.9632
Cs 1.7484 6.3331 2.9506
Cd 0.0000 7.4974 5.9430
Cd 0.0000 2.2685 2.9304
```

Summary:
space-group type	Pmc2_1

--- three ---
Compound: CsCdAsO
Source: the Open Quantum Materials Database
Functional: PBE-GGA
Structure: optimized geometry

The structure in extended XYZ format:
```
8
Lattice="-2.4343 2.1318 -1.1282 1.5032 -2.9243 -8.7697 -4.8919 -5.1254 0.8705" Properties=species:S:1:pos:R:3 pbc="T T T"
O -5.2721 -3.6143 -0.6584
O -1.6114 -3.4146 -8.1802
Cs -4.0088 -5.6495 -2.0253
Cs -1.0281 -4.1271 -5.5804
Cd -0.1225 -1.9856 -8.6925
Cd -3.8707 -2.0151 -0.6604
As -1.6022 -2.9472 -2.1122
As -3.3926 -6.7852 -5.5011
```

Summary:
space-group type	Pmc2_1

Quick one: most stable of them? two

--- one ---
Compound: LiCdCuAs
Source: the Open Quantum Materials Database
Functional: PBE-GGA
Structure: optimized geometry

The structure in extended XYZ format:
```
4
Lattice="4.4567 0.1233 0.7323 1.5995 -0.1197 4.2238 2.1457 -3.6825 1.4996" Properties=species:S:1:pos:R:3 pbc="T T T"
As 0.0000 0.0000 0.0000
Cd 4.1009 -1.8394 3.2279
Li 2.0504 -0.9197 1.6139
Cu 6.1513 -2.7591 4.8418
```

Summary:
space-group type	F-43m

--- two ---
Compound: LiCdCuAs
Source: the Open Quantum Materials Database
Functional: PBE-GGA
Structure: optimized geometry

The structure in extended XYZ format:
```
4
Lattice="1.4384 1.7018 4.0038 -2.4101 -0.7781 3.8185 1.6542 -2.8078 3.2211" Properties=species:S:1:pos:R:3 pbc="T T T"
Cd 0.1706 -0.4710 2.7608
Cu 0.5118 -1.4130 8.2825
Li 0.3412 -0.9420 5.5217
As 0.0000 0.0000 0.0000
```

Summary:
space-group type	F-43m

Quick one: most stable of them? one

--- one ---
Compound: CdCuNiAs
Source: the Open Quantum Materials Database
Functional: PBE-GGA
Structure: optimized geometry

The structure in extended XYZ format:
```
4
Lattice="-1.0680 -2.9777 3.0675 -2.9160 -3.1707 -0.9281 1.3443 -4.1754 -0.4201" Properties=species:S:1:pos:R:3 pbc="T T T"
As -1.3198 -5.1619 0.8596
Cd 0.0000 0.0000 0.0000
Ni -0.6599 -2.5810 0.4298
Cu -1.9797 -7.7428 1.2895
```

Summary:
space-group type	F-43m
magnetic moment	0.00	μB per cell

--- two ---
Compound: CdCuNiAs
Source: the Open Quantum Materials Database
Functional: PBE-GGA
Structure: optimized geometry

The structure in extended XYZ format:
```
4
Lattice="-3.2125 -1.9977 2.3709 -1.2074 1.6589 3.9652 -3.9766 1.9725 0.4773" Properties=species:S:1:pos:R:3 pbc="T T T"
Cd -2.0991 0.4084 1.7033
As 0.0000 0.0000 0.0000
Ni -4.1983 0.8169 3.4067
Cu -6.2974 1.2253 5.1100
```

Summary:
space-group type	F-43m
magnetic moment	0.01	μB per cell

Quick one: most stable of them? one

--- one ---
Compound: Rb2CdAsF6
Source: the Open Quantum Materials Database
Functional: PBE-GGA
Structure: optimized geometry

The structure in extended XYZ format:
```
10
Lattice="-3.0164 3.0164 4.7593 3.0164 -3.0164 4.7593 3.0164 3.0164 -4.7593" Properties=species:S:1:pos:R:3 pbc="T T T"
F 0.0000 0.0000 2.5975
F -1.5800 1.5800 4.7593
F 1.5800 1.5800 4.7593
F 0.0000 0.0000 6.9211
F 1.5800 -1.5800 4.7593
F 1.4364 1.4364 0.0000
As 0.0000 0.0000 0.0000
Rb 3.0164 0.0000 2.3796
Rb 0.0000 3.0164 2.3796
Cd 0.0000 0.0000 4.7593
```

Summary:
space-group type	I4/mmm

--- two ---
Compound: Rb2CdAsF6
Source: the Open Quantum Materials Database
Functional: PBE-GGA
Structure: optimized geometry

The structure in extended XYZ format:
```
20
Lattice="-1.7422 8.4199 6.4093 2.5201 10.1657 2.3060 -3.4443 10.1297 0.7321" Properties=species:S:1:pos:R:3 pbc="T T T"
F 0.1363 12.8614 5.6135
F -0.5699 17.6166 6.9030
F -1.8981 14.9452 6.8510
F -0.7682 13.7701 2.5964
F -3.1090 17.6012 6.2330
F -2.8027 15.8538 3.8339
F -3.0334 12.8423 4.7771
F -2.0964 11.0987 2.5444
F -1.3718 10.3708 4.9613
F -1.2945 18.3444 4.4862
F 0.4427 11.1140 3.2144
F 0.3670 15.8729 4.6703
Cd -1.3332 14.3576 4.7237
Cd 0.0000 0.0000 0.0000
As -1.5642 16.8457 5.5423
As -1.1021 11.8695 3.9051
Rb -1.9122 20.5936 6.7754
Rb -2.3121 24.9003 8.1923
Rb -0.3542 3.8149 1.2551
Rb -0.7541 8.1216 2.6721
```

Summary:
space-group type	R-3m

Quick one: most stable of them? one

--- one ---
Compound: CdFeHgAs
Source: the Open Quantum Materials Database
Functional: PBE-GGA
Structure: optimized geometry

The structure in extended XYZ format:
```
4
Lattice="0.0000 3.3820 3.3820 3.3820 0.0000 3.3820 3.3820 3.3820 0.0000" Properties=species:S:1:pos:R:3 pbc="T T T"
As 0.0000 0.0000 0.0000
Hg 1.6910 1.6910 1.6910
Fe 5.0731 5.0731 5.0731
Cd 3.3820 3.3820 3.3820
```

Summary:
space-group type	F-43m
magnetic moment	2.98	μB per cell

--- two ---
Compound: CdFeHgAs
Source: the Open Quantum Materials Database
Functional: PBE-GGA
Structure: optimized geometry

The structure in extended XYZ format:
```
4
Lattice="0.0000 3.3716 3.3716 3.3716 0.0000 3.3716 3.3716 3.3716 0.0000" Properties=species:S:1:pos:R:3 pbc="T T T"
Fe 5.0574 5.0574 5.0574
Cd 1.6858 1.6858 1.6858
As 0.0000 0.0000 0.0000
Hg 3.3716 3.3716 3.3716
```

Summary:
space-group type	F-43m
magnetic moment	2.94	μB per cell

Quick one: most stable of them? two

--- one ---
Compound: CdGaAsO
Source: the Open Quantum Materials Database
Functional: PBE-GGA
Structure: optimized geometry

The structure in extended XYZ format:
```
8
Lattice="3.9004 0.0000 0.0000 0.0000 3.9004 0.0000 0.0000 0.0000 9.1455" Properties=species:S:1:pos:R:3 pbc="T T T"
Cd 0.0000 0.0000 4.5728
Cd 1.9502 1.9502 4.5728
Ga 0.0000 1.9502 8.3130
Ga 1.9502 0.0000 0.8325
O 0.0000 0.0000 0.0000
O 1.9502 1.9502 0.0000
As 0.0000 1.9502 2.6180
As 1.9502 0.0000 6.5275
```

Summary:
space-group type	P4/nmm

--- two ---
Compound: CdGaAsO
Source: the Open Quantum Materials Database
Functional: PBE-GGA
Structure: optimized geometry

The structure in extended XYZ format:
```
8
Lattice="3.2828 0.0000 0.0000 0.0000 6.9115 0.0000 0.0000 0.0000 6.7082" Properties=species:S:1:pos:R:3 pbc="T T T"
Cd 1.6414 4.3446 3.7065
Cd 1.6414 2.5669 0.3524
As 0.0000 0.9808 5.6098
As 0.0000 5.9307 2.2557
Ga 0.0000 1.3110 3.1578
Ga 0.0000 5.6004 6.5119
O 1.6414 2.2608 2.6462
O 1.6414 4.6507 6.0003
```

Summary:
space-group type	Pmc2_1

Quick one: most stable of them? two

--- one ---
Compound: KCdAsO
Source: the Open Quantum Materials Database
Functional: PBE-GGA
Structure: optimized geometry

The structure in extended XYZ format:
```
8
Lattice="-2.4900 -2.1634 3.3789 3.7816 0.0631 2.8272 -2.0124 6.3008 2.5511" Properties=species:S:1:pos:R:3 pbc="T T T"
K -0.7503 3.8069 6.8337
K 0.0295 0.3936 1.9235
Cd 1.2075 2.6569 4.2407
Cd -1.9283 1.5436 4.5165
As 0.3980 0.2115 5.3780
As -1.1189 3.9890 3.3792
O -0.9221 -1.6068 3.2410
O 2.2137 -0.4935 2.9651
```

Summary:
space-group type	P4/nmm

--- two ---
Compound: KCdAsO
Source: the Open Quantum Materials Database
Functional: PBE-GGA
Structure: optimized geometry

The structure in extended XYZ format:
```
8
Lattice="4.2519 0.0000 0.0000 0.0000 4.7657 0.0000 0.0000 0.0000 7.9844" Properties=species:S:1:pos:R:3 pbc="T T T"
K 2.1260 1.2012 7.8350
K 2.1260 3.5645 3.8428
As 0.0000 1.1915 2.4308
As 0.0000 3.5743 6.4230
Cd 0.0000 3.5778 1.1035
Cd 0.0000 1.1880 5.0957
O 2.1260 3.5864 6.6275
O 2.1260 1.1794 2.6353
```

Summary:
space-group type	Pmc2_1

Quick one: most stable of them? two

--- one ---
Compound: KCdAsO
Source: the Open Quantum Materials Database
Functional: PBE-GGA
Structure: optimized geometry

The structure in extended XYZ format:
```
8
Lattice="-1.3966 -2.9404 1.3058 6.9778 -1.5168 4.0474 -2.0609 3.0672 4.7026" Properties=species:S:1:pos:R:3 pbc="T T T"
Cd 4.9527 -2.6937 3.9416
Cd -0.4095 -0.2185 3.7803
O 5.7230 -2.1947 5.8890
O -2.2286 0.8433 4.2259
As 2.1340 0.8166 4.1211
As 1.7983 2.1991 6.8754
K 4.8309 0.2779 5.7924
K 1.0876 -0.2181 0.6722
```

Summary:
space-group type	Pmc2_1

--- two ---
Compound: KCdAsO
Source: the Open Quantum Materials Database
Functional: PBE-GGA
Structure: optimized geometry

The structure in extended XYZ format:
```
8
Lattice="4.3669 0.0000 0.0000 0.0000 4.3669 0.0000 0.0000 0.0000 9.6503" Properties=species:S:1:pos:R:3 pbc="T T T"
Cd 2.1835 0.0000 0.7445
Cd 0.0000 2.1835 8.9058
As 2.1835 0.0000 7.3268
As 0.0000 2.1835 2.3235
O 2.1835 2.1835 0.0000
O 0.0000 0.0000 0.0000
K 0.0000 0.0000 4.8251
K 2.1835 2.1835 4.8251
```

Summary:
space-group type	P4/nmm

Quick one: most stable of them? one

--- one ---
Compound: LiCdNiAs
Source: the Open Quantum Materials Database
Functional: PBE-GGA
Structure: optimized geometry

The structure in extended XYZ format:
```
4
Lattice="2.4357 -2.1000 3.1538 -0.7854 -4.3354 0.9364 3.0004 -3.1410 -1.1921" Properties=species:S:1:pos:R:3 pbc="T T T"
Li 3.4880 -7.1824 2.1736
Ni 2.3253 -4.7883 1.4491
Cd 1.1627 -2.3941 0.7245
As 0.0000 0.0000 0.0000
```

Summary:
space-group type	F-43m
magnetic moment	0.00	μB per cell

--- two ---
Compound: LiCdNiAs
Source: the Open Quantum Materials Database
Functional: PBE-GGA
Structure: optimized geometry

The structure in extended XYZ format:
```
4
Lattice="0.0000 3.0965 3.0965 3.0965 0.0000 3.0965 3.0965 3.0965 0.0000" Properties=species:S:1:pos:R:3 pbc="T T T"
Li 1.5482 1.5482 1.5482
Ni 4.6447 4.6447 4.6447
Cd 3.0965 3.0965 3.0965
As 0.0000 0.0000 0.0000
```

Summary:
space-group type	F-43m
magnetic moment	0.01	μB per cell

Quick one: most stable of them? two